1.
Density functional theory data (GGA-PBE) for a relaxed MgZnGa2Ag crystal.

Cell: 4.051 9.251 9.716 Å, 90.00 90.00 90.00°
Space group Cmcm (No. 63)
Asymmetric unit:
Mg  0.000  0.078  0.250 x4
Zn  0.000  0.373  0.250 x4
Ga  0.000  0.217  0.595 x8
Ag  0.000  0.500  0.000 x4

- Uncorrected energy: -47.84 eV/cell

2.
Density functional theory data (GGA-PBE) for a relaxed BaCoPb2 crystal.

Cell: 4.5850 4.5850 19.6229 Å, 90.00 90.00 120.00°
Space group R3m (No. 160, hexagonal axes)
Asymmetric unit:
Ba  0.0000  0.0000  0.0000 x3
Co  0.0000  0.0000  0.8242 x3
Pb  0.0000  0.0000  0.2108 x3
Pb  0.0000  0.0000  0.4519 x3

- Uncorrected energy: -49.44 eV/cell

3.
Density functional theory data (GGA-PBE) for a relaxed SrInIO2 crystal.

Cell: 4.716 4.716 6.766 Å, 90.00 90.00 90.00°
Space group P4/mmm (No. 123)
Asymmetric unit:
Sr  0.000  0.000  0.000 x1
In  0.500  0.500  0.500 x1
I  0.000  0.000  0.500 x1
O  0.000  0.500  0.000 x2

- ΔE to the lowest computed polymorph: 448 meV/atom
- ΔE_f (raw): -2.922 eV per formula unit

4.
Density functional theory data (GGA-PBE) for a relaxed Cs3Tb3TaS8 crystal.

Cell: 7.9337 7.9337 24.7046 Å, 90.00 90.00 120.00°
Space group R-3m (No. 166, hexagonal axes)
Asymmetric unit:
Cs  0.0000  0.5000  0.0000 x9
Tb  0.0000  0.5000  0.5000 x9
Ta  0.0000  0.0000  0.5000 x3
S  0.0000  0.0000  0.2280 x6
S  0.0266  0.5133  0.2243 x18

- ΔE_f (raw): -24.478 eV per formula unit

5.
Density functional theory data (GGA-PBE) for a relaxed NaBeAgB2 crystal.

Cell: 4.160 4.160 5.315 Å, 90.00 90.00 90.00°
Space group P4/mmm (No. 123)
Asymmetric unit:
Na  0.000  0.000  0.000 x1
Be  0.500  0.500  0.000 x1
Ag  0.000  0.000  0.500 x1
B  0.000  0.500  0.500 x2

- Uncorrected energy: -12.80 eV/cell

6.
Density functional theory data (GGA-PBE) for a relaxed KRhSe2 crystal.

Cell: 3.9041 3.9041 7.7363 Å, 90.00 90.00 120.00°
Space group P3m1 (No. 156)
Asymmetric unit:
K  0.0000  0.0000  0.0000 x1
Rh  0.6667  0.3333  0.5655 x1
Se  0.0000  0.0000  0.4099 x1
Se  0.3333  0.6667  0.7180 x1

- ΔE_f (raw): -2.532 eV per formula unit

7.
Density functional theory data (GGA-PBE) for a relaxed MgSe5 crystal.

Cell: 8.092 8.092 8.092 Å, 90.00 90.00 90.00°
Space group F-43m (No. 216)
Asymmetric unit:
Mg  0.000  0.000  0.000 x4
Se  0.125  0.125  0.375 x16
Se  0.250  0.250  0.750 x4

- ΔE_f (raw): 2.337 eV per formula unit

8.
Density functional theory data (GGA-PBE) for a relaxed K2ScHg crystal.

Cell: 4.629 4.629 12.451 Å, 90.00 90.00 90.00°
Space group I4/mmm (No. 139)
Asymmetric unit:
K  0.000  0.500  0.250 x4
Sc  0.000  0.000  0.000 x2
Hg  0.000  0.000  0.500 x2

- ΔE to the lowest computed polymorph: 305 meV/atom

9.
Density functional theory data (GGA-PBE) for a relaxed Mn2GaBSe crystal.

Cell: 2.877 2.850 15.385 Å, 90.00 90.00 90.00°
Space group Amm2 (No. 38)
Asymmetric unit:
Mn  0.000  0.000  0.000 x2
Mn  0.000  0.000  0.355 x2
Ga  0.500  0.000  0.752 x2
B  0.500  0.000  0.901 x2
Se  0.500  0.000  0.582 x2

- ΔE to the lowest computed polymorph: 45 meV/atom
- ΔE_f (raw): -0.454 eV per formula unit

10.
Density functional theory data (GGA-PBE) for a relaxed Zn2CrCo crystal.

Cell: 2.5878 2.5878 26.2755 Å, 90.00 90.00 120.00°
Space group R3m (No. 160, hexagonal axes)
Asymmetric unit:
Zn  0.0000  0.0000  0.0000 x3
Zn  0.0000  0.0000  0.2370 x3
Cr  0.0000  0.0000  0.4851 x3
Co  0.0000  0.0000  0.7480 x3

- ΔE to the lowest computed polymorph: 63 meV/atom

11.
Density functional theory data (GGA-PBE) for a relaxed Mg2TiRh2 crystal.

Cell: 3.060 18.649 3.049 Å, 90.00 90.00 90.00°
Space group Cmmm (No. 65)
Asymmetric unit:
Mg  0.000  0.173  0.000 x4
Ti  0.000  0.000  0.000 x2
Rh  0.000  0.419  0.500 x4

- ΔE to the lowest computed polymorph: 0 meV/atom

12.
Density functional theory data (GGA-PBE) for a relaxed HgMoS2N crystal.

Cell: 5.070 5.070 4.090 Å, 90.00 90.00 90.00°
Space group P4/mmm (No. 123)
Asymmetric unit:
Hg  0.000  0.000  0.000 x1
Mo  0.500  0.500  0.500 x1
S  0.000  0.500  0.000 x2
N  0.000  0.000  0.500 x1

- ΔE to the lowest computed polymorph: 1514 meV/atom
- ΔE_f (raw): 8.484 eV per formula unit